Record 1
The following is a PBE calculation of crystalline Hf2AlCu4 at its relaxed geometry, from Alexandria via LeMat-Bulk.

Lattice parameters (Å, degrees): 4.344 4.344 7.381 107.11 107.11 90.00
Positions (direct):
Al: 0.000 0.000 0.000
Cu: 0.500 0.000 0.000
Cu: 0.178 0.178 0.356
Cu: 0.822 0.822 0.644
Cu: 0.000 0.500 0.000
Hf: 0.371 0.371 0.743
Hf: 0.629 0.629 0.257

Calculated values
**Total DFT energy (no corrections)**: -0.3841 Ry per atom
**SG**: No. 139
**E_form**: 0.4934 eV/atom
**Calculated density**: 8.37 g cm⁻³

***

Record 2
The following is a PBE calculation of crystalline AlAgPt2 at its relaxed geometry, from Alexandria via LeMat-Bulk.

Lattice parameters (Å, degrees): 4.937 4.937 4.929 72.65 72.65 33.90
Positions (direct):
Pt: 0.527 0.527 0.482
Pt: 0.973 0.973 0.018
Ag: 0.750 0.750 0.750
Al: 0.250 0.250 0.250

Calculated values
**Total DFT energy (no corrections)**: -0.3754 Ry per atom
**SG**: No. 12
**E_form**: -0.4392 eV/atom
**Calculated density**: 13.69 g cm⁻³
**Energy above the lowest structure with this stoichiometry**: 0.2144 eV per atom

***

Record 3
The following is a PBE calculation of crystalline Tb6PmSc at its relaxed geometry, from Alexandria via LeMat-Bulk.

Lattice parameters (Å, degrees): 4.984 7.077 7.077 89.99 90.00 90.00
Positions (direct):
Tb: 0.000 0.254 0.254
Tb: 0.000 0.746 0.746
Tb: 0.500 0.000 0.500
Tb: 0.500 0.500 0.000
Tb: 0.000 0.746 0.254
Tb: 0.000 0.254 0.746
Pm: 0.500 0.000 0.000
Sc: 0.500 0.500 0.500

Calculated values
**Total DFT energy (no corrections)**: -0.3550 Ry per atom
**SG**: No. 123
**E_form**: 0.0286 eV/atom
**Calculated density**: 7.61 g cm⁻³
**Energy above the lowest structure with this stoichiometry**: 0.0000 eV per atom

***

Record 4
The following is a PBE calculation of crystalline SrGe7N10 at its relaxed geometry, from Alexandria via LeMat-Bulk.

Lattice parameters (Å, degrees): 7.281 7.181 10.265 90.00 105.49 90.00
Positions (direct):
N: 0.773 0.860 0.843
N: 0.142 0.845 0.527
N: 0.284 0.502 0.225
N: 0.284 0.498 0.725
N: 0.708 0.585 0.325
N: 0.498 0.539 0.024
N: 0.887 0.628 0.634
N: 0.459 0.884 0.172
N: 0.317 0.125 0.362
N: 0.317 0.875 0.862
N: 0.773 0.140 0.343
N: 0.142 0.155 0.027
N: 0.498 0.461 0.524
N: 0.080 0.416 0.444
N: 0.708 0.415 0.825
N: 0.573 0.873 0.480
N: 0.459 0.116 0.672
N: 0.080 0.584 0.944
N: 0.573 0.127 0.980
N: 0.887 0.372 0.134
Ge: 0.666 0.365 0.993
Ge: 0.112 0.393 0.075
Ge: 0.350 0.028 0.017
Ge: 0.112 0.607 0.575
Ge: 0.297 0.622 0.884
Ge: 0.545 0.029 0.327
Ge: 0.297 0.378 0.384
Ge: 0.851 0.372 0.313
Ge: 0.486 0.370 0.689
Ge: 0.851 0.628 0.813
Ge: 0.486 0.630 0.189
Ge: 0.545 0.971 0.827
Ge: 0.666 0.635 0.493
Ge: 0.350 0.972 0.517
Sr: 0.915 0.025 0.635
Sr: 0.915 0.975 0.135

Calculated values
**Total DFT energy (no corrections)**: -0.4892 Ry per atom
**SG**: No. 7
**Formation energy (no corrections)**: -2.6 eV/f.u.
**Calculated density**: 4.73 g cm⁻³

***

Record 5
The following is a PBE calculation of crystalline Bi2Se3 at its relaxed geometry, from Alexandria via LeMat-Bulk.

Lattice parameters (Å, degrees): 25.021 6.103 12.801 155.75 167.76 21.10
Positions (direct):
Bi: 0.673 0.850 0.000
Bi: 0.327 0.150 0.000
Se: 0.634 0.491 0.000
Se: 0.366 0.509 0.000
Se: 0.000 0.000 0.000

Calculated values
**Total DFT energy (no corrections)**: -0.2549 Ry per atom
**SG**: No. 12
**Formation energy (no corrections)**: 0.9 eV/f.u.
**Calculated density**: 7.29 g cm⁻³

***

Record 6
The following is a PBE calculation of crystalline Tl2Ge2Te at its relaxed geometry, from Alexandria via LeMat-Bulk.

Lattice parameters (Å, degrees): 7.608 7.608 4.886 90.00 90.00 90.00
Positions (direct):
Te: 0.000 0.000 0.000
Te: 0.500 0.500 0.000
Tl: 0.318 0.182 0.500
Tl: 0.182 0.682 0.500
Tl: 0.682 0.818 0.500
Tl: 0.818 0.318 0.500
Ge: 0.381 0.881 0.000
Ge: 0.119 0.381 0.000
Ge: 0.881 0.619 0.000
Ge: 0.619 0.119 0.000

Calculated values
**Total DFT energy (no corrections)**: -0.2420 Ry per atom
**SG**: No. 127
**Formation energy (no corrections)**: 0.6 eV/f.u.
**Calculated density**: 8.00 g cm⁻³
**Energy above the lowest structure with this stoichiometry**: 0.0000 eV per atom

***

Record 7
The following is a PBE calculation of crystalline SrLa2Hg2 at its relaxed geometry, from Alexandria via LeMat-Bulk.

Lattice parameters (Å, degrees): 9.133 9.133 3.993 90.00 90.00 90.00
Positions (direct):
Hg: 0.366 0.866 0.000
Hg: 0.866 0.634 0.000
Hg: 0.634 0.134 0.000
Hg: 0.134 0.366 0.000
Sr: 0.000 0.000 0.000
Sr: 0.500 0.500 0.000
La: 0.840 0.340 0.500
La: 0.340 0.160 0.500
La: 0.160 0.660 0.500
La: 0.660 0.840 0.500

Calculated values
**Total DFT energy (no corrections)**: -0.2066 Ry per atom
**SG**: No. 127
**E_form**: -0.3834 eV/atom
**Calculated density**: 7.64 g cm⁻³
**Energy above the lowest structure with this stoichiometry**: 0.0110 eV per atom

***

Record 8
The following is a PBE calculation of crystalline Ac5Tl2PtO at its relaxed geometry, from Alexandria via LeMat-Bulk.

Lattice parameters (Å, degrees): 4.318 10.296 14.664 90.00 90.00 102.10
Positions (direct):
O: 0.455 0.910 0.427
O: 0.545 0.090 0.927
Ac: 0.033 0.065 0.005
Ac: 0.661 0.322 0.514
Ac: 0.506 0.012 0.278
Ac: 0.967 0.935 0.505
Ac: 0.325 0.650 0.381
Ac: 0.703 0.407 0.167
Ac: 0.339 0.678 0.014
Ac: 0.675 0.350 0.881
Ac: 0.494 0.988 0.778
Ac: 0.297 0.593 0.667
Tl: 0.135 0.269 0.334
Tl: 0.865 0.731 0.834
Tl: 0.115 0.230 0.693
Tl: 0.885 0.770 0.193
Pt: 0.811 0.622 0.525
Pt: 0.189 0.378 0.025

Calculated values
**Total DFT energy (no corrections)**: -0.3716 Ry per atom
**SG**: No. 36
**Formation energy (no corrections)**: -9.2 eV/f.u.
**Calculated density**: 9.14 g cm⁻³

***

Record 9
The following is a PBE calculation of crystalline SbMo2Pt at its relaxed geometry, from Alexandria via LeMat-Bulk.

Lattice parameters (Å, degrees): 4.749 4.749 3.010 90.00 90.00 90.00
Positions (direct):
Sb: 0.000 0.500 0.500
Mo: 0.000 0.000 0.000
Mo: 0.500 0.500 0.000
Pt: 0.500 0.000 0.500

Calculated values
**Total DFT energy (no corrections)**: -0.5740 Ry per atom
**SG**: No. 123
**Formation energy (no corrections)**: 0.6 eV/f.u.
**Calculated density**: 12.45 g cm⁻³

***

Record 10
The following is a PBE calculation of crystalline Li2CdIn2Pb at its relaxed geometry, from Alexandria via LeMat-Bulk.

Lattice parameters (Å, degrees): 4.528 6.661 9.136 90.00 90.00 90.00
Positions (direct):
In: 0.000 0.364 0.172
In: 0.500 0.608 0.986
In: 0.000 0.864 0.828
In: 0.500 0.108 0.014
Pb: 0.000 0.401 0.512
Pb: 0.000 0.901 0.488
Cd: 0.500 0.156 0.685
Cd: 0.500 0.656 0.315
Li: 0.000 0.868 0.154
Li: 0.500 0.149 0.345
Li: 0.500 0.649 0.655
Li: 0.000 0.368 0.846

Calculated values
**Total DFT energy (no corrections)**: -0.1825 Ry per atom
**SG**: No. 26
**E_form**: -0.1619 eV/atom
**Calculated density**: 6.79 g cm⁻³

***

Record 11
The following is a PBE calculation of crystalline Sr3LaPa2P6 at its relaxed geometry, from Alexandria via LeMat-Bulk.

Lattice parameters (Å, degrees): 7.279 7.279 7.354 99.52 99.52 119.99
Positions (direct):
P: 0.073 0.425 0.217
P: 0.425 0.073 0.217
P: 0.721 0.721 0.218
P: 0.927 0.575 0.783
P: 0.279 0.279 0.782
P: 0.575 0.927 0.783
La: 0.000 0.000 0.000
Pa: 0.667 0.333 0.000
Pa: 0.333 0.667 0.000
Sr: 0.500 0.500 0.500
Sr: 0.163 0.837 0.500
Sr: 0.837 0.163 0.500

Calculated values
**Total DFT energy (no corrections)**: -0.4710 Ry per atom
**SG**: No. 12
**E_form**: -1.2901 eV/atom
**Calculated density**: 5.47 g cm⁻³

***

Record 12
The following is a PBE calculation of crystalline La2FeAs4Rh3 at its relaxed geometry, from Alexandria via LeMat-Bulk.

Lattice parameters (Å, degrees): 4.346 4.346 9.926 90.00 90.00 90.00
Site moments in Bohr magnetons follow the coordinates.
Positions (direct):
La: 0.000 0.500 0.753  0.01
La: 0.500 0.000 0.247  0.01
Rh: 0.000 0.000 0.500  0.07
Rh: 0.500 0.000 0.879  -0.03
Rh: 0.000 0.500 0.121  -0.03
Fe: 0.500 0.500 0.500  2.18
As: 0.000 0.500 0.373  -0.02
As: 0.000 0.000 0.000  0.00
As: 0.500 0.500 0.000  0.00
As: 0.500 0.000 0.627  -0.02

Calculated values
**Total DFT energy (no corrections)**: -0.4982 Ry per atom
**SG**: No. 115
**E_form**: -0.8820 eV/atom
**Calculated density**: 8.34 g cm⁻³